Record 1
This record from OQMD via LeMat-Bulk describes an optimized crystal structure of ScFeHg2Br6. The functional is PBE.

Raw total energy: -31.97 eV per formula unit
Magnetic moment: 4.72 μB/f.u.

a = 7.432 Å, b = 7.432 Å, c = 7.432 Å
α = 60.00°, β = 60.00°, γ = 60.00°
Positions (direct):
Sc: 0.000 0.000 0.000
Fe: 0.500 0.500 0.500
Hg: 0.250 0.250 0.250
Hg: 0.750 0.750 0.750
Br: 0.254 0.254 0.746
Br: 0.254 0.746 0.254
Br: 0.254 0.746 0.746
Br: 0.746 0.254 0.254
Br: 0.746 0.254 0.746
Br: 0.746 0.746 0.254

---

Record 2
This record from OQMD via LeMat-Bulk describes an optimized crystal structure of HoFeBr. The functional is PBE.

Raw total energy: -17.39 eV per formula unit
Magnetic moment: 0.85 μB/f.u.

a = 11.777 Å, b = 11.777 Å, c = 11.777 Å
α = 18.77°, β = 18.77°, γ = 18.77°
Positions (direct):
Ho: 0.057 0.057 0.057
Ho: 0.943 0.943 0.943
Fe: 0.336 0.336 0.336
Fe: 0.664 0.664 0.664
Br: 0.222 0.222 0.222
Br: 0.778 0.778 0.778

---

Record 3
This record from OQMD via LeMat-Bulk describes an optimized crystal structure of Ho7FeBr12. The functional is PBE.

Raw total energy: -91.00 eV per formula unit
Magnetic moment: 1.01 μB/f.u.

a = 9.148 Å, b = 9.148 Å, c = 9.148 Å
α = 106.77°, β = 106.77°, γ = 106.77°
Positions (direct):
Ho: 0.000 0.000 0.000
Ho: 0.200 0.479 0.404
Ho: 0.404 0.200 0.479
Ho: 0.479 0.404 0.200
Ho: 0.521 0.596 0.800
Ho: 0.596 0.800 0.521
Ho: 0.800 0.521 0.596
Fe: 0.500 0.500 0.500
Br: 0.038 0.114 0.333
Br: 0.114 0.333 0.038
Br: 0.177 0.571 0.721
Br: 0.279 0.823 0.429
Br: 0.333 0.038 0.114
Br: 0.429 0.279 0.823
Br: 0.571 0.721 0.177
Br: 0.667 0.962 0.886
Br: 0.721 0.177 0.571
Br: 0.823 0.429 0.279
Br: 0.886 0.667 0.962
Br: 0.962 0.886 0.667

---

Record 4
This record from OQMD via LeMat-Bulk describes an optimized crystal structure of YHoFe2Br2. The functional is PBE.

Raw total energy: -36.65 eV per formula unit
Magnetic moment: 1.69 μB/f.u.

a = 3.854 Å, b = 3.854 Å, c = 11.619 Å
α = 90.00°, β = 90.00°, γ = 120.00°
Positions (direct):
Y: 0.000 0.000 0.000
Ho: 0.000 0.000 0.659
Fe: 0.333 0.667 0.822
Fe: 0.667 0.333 0.834
Br: 0.333 0.667 0.166
Br: 0.667 0.333 0.494

---

Record 5
This record from OQMD via LeMat-Bulk describes an optimized crystal structure of Fe2PdI6Br2. The functional is PBE.

Raw total energy: -37.12 eV per formula unit
Magnetic moment: 10.00 μB/f.u.

a = 8.297 Å, b = 8.297 Å, c = 7.509 Å
α = 95.81°, β = 95.81°, γ = 69.68°
Positions (direct):
Fe: 0.207 0.207 0.340
Fe: 0.793 0.793 0.660
Pd: 0.000 0.000 0.000
I: 0.095 0.686 0.832
I: 0.183 0.183 0.667
I: 0.314 0.905 0.168
I: 0.686 0.095 0.832
I: 0.817 0.817 0.333
I: 0.905 0.314 0.168
Br: 0.372 0.372 0.301
Br: 0.628 0.628 0.699

---

Record 6
This record from OQMD via LeMat-Bulk describes an optimized crystal structure of Fe2PdI2Br6. The functional is PBE.

Raw total energy: -38.72 eV per formula unit
Magnetic moment: 10.00 μB/f.u.

a = 8.056 Å, b = 8.056 Å, c = 7.379 Å
α = 97.97°, β = 97.97°, γ = 68.61°
Positions (direct):
Fe: 0.205 0.205 0.336
Fe: 0.795 0.795 0.664
Pd: 0.000 0.000 0.000
I: 0.183 0.183 0.666
I: 0.817 0.817 0.334
Br: 0.090 0.695 0.834
Br: 0.305 0.910 0.166
Br: 0.372 0.372 0.301
Br: 0.628 0.628 0.699
Br: 0.695 0.090 0.834
Br: 0.910 0.305 0.166

---

Record 7
This record from OQMD via LeMat-Bulk describes an optimized crystal structure of Fe2PtI4Br4. The functional is PBE.

Excess energy over the best structure of this formula in the dataset: 0.000 eV per atom
Magnetic moment: 10.00 μB/f.u.

a = 7.879 Å, b = 7.879 Å, c = 7.203 Å
α = 92.12°, β = 92.12°, γ = 80.60°
Positions (direct):
Fe: 0.222 0.222 0.338
Fe: 0.778 0.778 0.662
Pt: 0.000 0.000 0.000
I: 0.096 0.720 0.793
I: 0.280 0.904 0.207
I: 0.720 0.096 0.793
I: 0.904 0.280 0.207
Br: 0.229 0.229 0.659
Br: 0.393 0.393 0.209
Br: 0.607 0.607 0.791
Br: 0.771 0.771 0.341

---

Record 8
This record from OQMD via LeMat-Bulk describes an optimized crystal structure of Fe2PtI4Br4. The functional is PBE.

Excess energy over the best structure of this formula in the dataset: 0.055 eV per atom
Magnetic moment: 10.01 μB/f.u.

a = 7.973 Å, b = 7.973 Å, c = 7.358 Å
α = 94.89°, β = 94.89°, γ = 79.93°
Positions (direct):
Fe: 0.211 0.211 0.326
Fe: 0.789 0.789 0.674
Pt: 0.000 0.000 0.000
I: 0.226 0.226 0.666
I: 0.395 0.395 0.210
I: 0.605 0.605 0.790
I: 0.774 0.774 0.334
Br: 0.084 0.736 0.803
Br: 0.264 0.916 0.197
Br: 0.736 0.084 0.803
Br: 0.916 0.264 0.197

---

Record 9
This record from OQMD via LeMat-Bulk describes an optimized crystal structure of Fe2PtI2Br6. The functional is PBE.

Excess energy over the best structure of this formula in the dataset: 0.000 eV per atom
Magnetic moment: 10.00 μB/f.u.

a = 7.795 Å, b = 7.795 Å, c = 7.242 Å
α = 93.81°, β = 93.81°, γ = 81.38°
Positions (direct):
Fe: 0.215 0.215 0.322
Fe: 0.785 0.785 0.678
Pt: 0.000 0.000 0.000
I: 0.228 0.228 0.667
I: 0.772 0.772 0.333
Br: 0.086 0.734 0.803
Br: 0.266 0.914 0.197
Br: 0.390 0.390 0.209
Br: 0.610 0.610 0.791
Br: 0.734 0.086 0.803
Br: 0.914 0.266 0.197

---

Record 10
This record from OQMD via LeMat-Bulk describes an optimized crystal structure of InFeBr3. The functional is PBE.

Raw total energy: -18.56 eV per formula unit
Magnetic moment: 4.04 μB/f.u.

a = 9.309 Å, b = 3.989 Å, c = 14.992 Å
α = 90.00°, β = 90.00°, γ = 90.00°
Positions (direct):
In: 0.050 0.250 0.170
In: 0.450 0.750 0.670
In: 0.550 0.250 0.330
In: 0.950 0.750 0.830
Fe: 0.159 0.750 0.446
Fe: 0.341 0.250 0.946
Fe: 0.659 0.750 0.054
Fe: 0.841 0.250 0.554
Br: 0.022 0.750 0.600
Br: 0.179 0.750 0.003
Br: 0.227 0.250 0.794
Br: 0.273 0.750 0.294
Br: 0.321 0.250 0.503
Br: 0.478 0.250 0.100
Br: 0.522 0.750 0.900
Br: 0.679 0.750 0.497
Br: 0.727 0.250 0.706
Br: 0.773 0.750 0.206
Br: 0.821 0.250 0.997
Br: 0.978 0.250 0.400

---

Record 11
This record from OQMD via LeMat-Bulk describes an optimized crystal structure of Rb2InFeBr6. The functional is PBE.

Raw total energy: -33.32 eV per formula unit
Magnetic moment: 3.65 μB/f.u.

a = 7.779 Å, b = 7.779 Å, c = 7.779 Å
α = 60.00°, β = 60.00°, γ = 60.00°
Positions (direct):
Rb: 0.250 0.250 0.250
Rb: 0.750 0.750 0.750
In: 0.000 0.000 0.000
Fe: 0.500 0.500 0.500
Br: 0.264 0.264 0.736
Br: 0.264 0.736 0.264
Br: 0.264 0.736 0.736
Br: 0.736 0.264 0.264
Br: 0.736 0.264 0.736
Br: 0.736 0.736 0.264

---

Record 12
This record from OQMD via LeMat-Bulk describes an optimized crystal structure of Tl2InFeBr6. The functional is PBE.

Raw total energy: -32.11 eV per formula unit
Magnetic moment: 3.56 μB/f.u.

a = 7.716 Å, b = 7.716 Å, c = 7.716 Å
α = 60.00°, β = 60.00°, γ = 60.00°
Positions (direct):
Tl: 0.250 0.250 0.250
Tl: 0.750 0.750 0.750
In: 0.000 0.000 0.000
Fe: 0.500 0.500 0.500
Br: 0.264 0.264 0.736
Br: 0.264 0.736 0.264
Br: 0.264 0.736 0.736
Br: 0.736 0.264 0.264
Br: 0.736 0.264 0.736
Br: 0.736 0.736 0.264